## 1
{"formula": "Be2MoCl", "functional": "PBE-GGA", "state": "optimized geometry", "total_magnetization_mub_per_cell": 0.00, "density_g_cm3": 4.8, "lattice_angstrom": [[2.469, -3.781, 0.000], [2.469, 3.781, 0.000], [0.000, 0.000, 2.769]], "species": ["Be", "Be", "Mo", "Cl"], "fractional_positions": [[0.000, 0.500, 0.000], [0.500, 0.000, 0.000], [0.000, 0.000, 0.500], [0.500, 0.500, 0.500]]}

## 2
{"formula": "Be2MoCl", "functional": "PBE-GGA", "state": "optimized geometry", "total_magnetization_mub_per_cell": 0.00, "density_g_cm3": 4.6, "lattice_angstrom": [[1.457, 0.841, 7.289], [-1.457, 0.841, 7.289], [0.000, -1.683, 7.289]], "species": ["Be", "Be", "Mo", "Cl"], "fractional_positions": [[0.247, 0.247, 0.247], [0.753, 0.753, 0.753], [0.000, 0.000, 0.000], [0.500, 0.500, 0.500]]}

How do the energies compare? Relative to the most stable structure, in meV/atom: 1 210; 2 0.

## 1
{"formula": "BeMoCl", "functional": "PBE-GGA", "state": "optimized geometry", "total_magnetization_mub_per_cell": 0.00, "density_g_cm3": 5.3, "lattice_angstrom": [[0.000, 2.810, 2.810], [2.810, 0.000, 2.810], [2.810, 2.810, 0.000]], "species": ["Be", "Mo", "Cl"], "fractional_positions": [[0.000, 0.000, 0.000], [0.500, 0.500, 0.500], [0.250, 0.250, 0.250]]}

## 2
{"formula": "BeMoCl", "functional": "PBE-GGA", "state": "optimized geometry", "total_magnetization_mub_per_cell": 0.88, "density_g_cm3": 4.8, "lattice_angstrom": [[0.000, 2.887, 2.887], [2.887, 0.000, 2.887], [2.887, 2.887, 0.000]], "species": ["Be", "Mo", "Cl"], "fractional_positions": [[0.000, 0.000, 0.000], [0.750, 0.750, 0.750], [0.500, 0.500, 0.500]]}

How do the energies compare? Relative to the most stable structure, in meV/atom: 1 42; 2 0.